No. 1
Material: Tb2Zn2FeRh5
Method: DFT, PBE
State: optimized geometry

- ΔH_f (0 K): -0.47 eV/atom
- E_tot: -6.169 eV/atom
- Crystal system: tetragonal
- Calculated volume: 332.7 Å³/cell

Cell and atoms, written as CIF:
```
data_Tb2Zn2FeRh5
_chemical_formula_sum 'Tb4 Zn4 Fe2 Rh10'
_cell_length_a 9.753
_cell_length_b 9.753
_cell_length_c 3.498
_cell_angle_alpha 90.00
_cell_angle_beta 90.00
_cell_angle_gamma 90.00
_symmetry_space_group_name_H-M 'P 1'
_symmetry_Int_Tables_number 1
_symmetry_space_group_name_Hall 'P 1'
loop_
_atom_site_label
_atom_site_type_symbol
_atom_site_fract_x
_atom_site_fract_y
_atom_site_fract_z
Tb1 Tb 0.173 0.327 0.000
Tb2 Tb 0.327 0.827 0.000
Tb3 Tb 0.673 0.173 0.000
Tb4 Tb 0.827 0.673 0.000
Zn1 Zn 0.127 0.627 0.000
Zn2 Zn 0.373 0.127 0.000
Zn3 Zn 0.627 0.873 0.000
Zn4 Zn 0.873 0.373 0.000
Fe1 Fe 0.000 0.000 0.000
Fe2 Fe 0.500 0.500 0.000
Rh1 Rh 0.000 0.500 0.500
Rh2 Rh 0.063 0.803 0.500
Rh3 Rh 0.197 0.063 0.500
Rh4 Rh 0.303 0.563 0.500
Rh5 Rh 0.437 0.303 0.500
Rh6 Rh 0.500 0.000 0.500
Rh7 Rh 0.563 0.697 0.500
Rh8 Rh 0.697 0.437 0.500
Rh9 Rh 0.803 0.937 0.500
Rh10 Rh 0.937 0.197 0.500
```

***

No. 2
Material: FeTcRh2
Method: DFT, PBE
State: optimized geometry

- ΔH_f (0 K): 0.03 eV/atom
- E_tot: -8.352 eV/atom
- Crystal system: monoclinic
- Calculated volume: 55.0 Å³/cell

Cell and atoms, written as CIF:
```
data_FeTcRh2
_chemical_formula_sum 'Fe1 Tc1 Rh2'
_cell_length_a 4.661
_cell_length_b 2.682
_cell_length_c 4.679
_cell_angle_alpha 90.00
_cell_angle_beta 109.90
_cell_angle_gamma 90.00
_symmetry_space_group_name_H-M 'P 1'
_symmetry_Int_Tables_number 1
_symmetry_space_group_name_Hall 'P 1'
loop_
_atom_site_label
_atom_site_type_symbol
_atom_site_fract_x
_atom_site_fract_y
_atom_site_fract_z
Fe1 Fe 0.000 0.000 0.000
Tc1 Tc 0.500 0.500 0.000
Rh1 Rh 0.000 0.500 0.500
Rh2 Rh 0.500 0.000 0.500
```

***

No. 3
Material: FeTc2Rh
Method: DFT, PBE
State: optimized geometry

- ΔH_f (0 K): 0.06 eV/atom
- E_tot: -9.078 eV/atom
- Crystal system: monoclinic
- Calculated volume: 55.2 Å³/cell

Cell and atoms, written as CIF:
```
data_FeTc2Rh
_chemical_formula_sum 'Fe1 Tc2 Rh1'
_cell_length_a 4.677
_cell_length_b 4.677
_cell_length_c 4.633
_cell_angle_alpha 99.56
_cell_angle_beta 99.56
_cell_angle_gamma 33.57
_symmetry_space_group_name_H-M 'P 1'
_symmetry_Int_Tables_number 1
_symmetry_space_group_name_Hall 'P 1'
loop_
_atom_site_label
_atom_site_type_symbol
_atom_site_fract_x
_atom_site_fract_y
_atom_site_fract_z
Fe1 Fe 0.000 0.000 0.000
Tc1 Tc 0.250 0.250 0.755
Tc2 Tc 0.750 0.750 0.245
Rh1 Rh 0.500 0.500 0.500
```

***

No. 4
Material: FeTcRh2
Method: DFT, PBE
State: optimized geometry

- ΔH_f (0 K): 0.23 eV/atom
- E_tot: -8.157 eV/atom
- Crystal system: cubic
- Calculated volume: 55.9 Å³/cell

Cell and atoms, written as CIF:
```
data_FeTcRh2
_chemical_formula_sum 'Fe1 Tc1 Rh2'
_cell_length_a 4.291
_cell_length_b 4.291
_cell_length_c 4.291
_cell_angle_alpha 60.00
_cell_angle_beta 60.00
_cell_angle_gamma 60.00
_symmetry_space_group_name_H-M 'P 1'
_symmetry_Int_Tables_number 1
_symmetry_space_group_name_Hall 'P 1'
loop_
_atom_site_label
_atom_site_type_symbol
_atom_site_fract_x
_atom_site_fract_y
_atom_site_fract_z
Fe1 Fe 0.000 0.000 0.000
Tc1 Tc 0.250 0.250 0.250
Rh1 Rh 0.500 0.500 0.500
Rh2 Rh 0.750 0.750 0.750
```